Record 1
Y2W: optimized geometry, PBE.

Computed properties:
excess energy over the best structure of this formula in the dataset	338	meV per atom
symmetry	Cmcm (63)
DFT formation energy	584.5	meV per atom
DOS(E_F)	6.7	states/eV per cell

abc: 8.8547 8.8547 5.2503
angles: 90.00 90.00 159.58
Closest atoms and distances in Å follow each position.
Sites, in units of the cell vectors:
W1 0.1230 0.8770 0.2500  10 Y 3.10-3.37, 2 W 3.14
W2 0.8770 0.1230 0.7500  10 Y 3.10-3.37, 2 W 3.14
Y1 0.2178 0.7822 0.7500  4 W 3.10-3.19, 8 Y 3.14-3.35
Y2 0.5480 0.4520 0.7500  6 Y 3.11-3.35, 6 W 3.33-3.37
Y3 0.7822 0.2178 0.2500  4 W 3.10-3.19, 8 Y 3.14-3.35
Y4 0.4520 0.5480 0.2500  6 Y 3.11-3.35, 6 W 3.33-3.37

---

Record 2
AgSeO4: optimized geometry, PBE.

Computed properties:
symmetry	C2/c (15)
DOS(E_F)	3.3	states/eV per cell
formation energy from raw total energies	-156	meV per atom

abc: 5.3344 4.7796 7.6665
angles: 108.16 126.36 90.00
Closest atoms and distances in Å follow each position.
Sites, in units of the cell vectors:
O1 0.3136 0.8367 0.6131  2 Se 1.88-1.95
O2 0.7419 0.4767 0.2054  1 Se 1.78
O3 0.2581 0.5233 0.7946  1 Se 1.78
O4 0.7581 0.2713 0.7946  1 Se 1.78
O5 0.8136 0.7764 0.6131  2 Se 1.88-1.95
O6 0.1864 0.2236 0.3869  2 Se 1.88-1.95
O7 0.2419 0.7287 0.2054  1 Se 1.78
O8 0.6864 0.1633 0.3869  2 Se 1.88-1.95
Se1 0.5000 0.0000 0.5000  6 O 1.78-1.95
Se2 0.0000 0.5000 0.5000  6 O 1.78-1.95
Ag1 0.7500 0.7331 0.0000  4 O 2.12-2.29
Ag2 0.2500 0.2669 0.0000  4 O 2.12-2.29

---

Record 3
LaPm10Ho4: optimized geometry, PBE.

Computed properties:
symmetry	I4/m (87)
DFT formation energy	510.3	meV per atom
DOS(E_F)	27.5	states/eV per cell

abc: 6.8509 9.6442 9.6442
angles: 82.75 69.20 69.20
Closest atoms and distances in Å follow each position.
Sites, in units of the cell vectors:
Pm1 0.9568 0.1616 0.4182  4 Pm 3.14-3.47, 3 Ho 3.36-3.51
Pm2 0.2500 0.5000 0.5000  6 Pm 3.14-3.43
Pm3 0.6250 0.4182 0.8384  4 Pm 3.14-3.47, 3 Ho 3.36-3.51
Pm4 0.3750 0.5818 0.1616  4 Pm 3.14-3.47, 3 Ho 3.36-3.51
Pm5 0.5366 0.8384 0.5818  4 Pm 3.14-3.47, 3 Ho 3.36-3.51
Pm6 0.7500 0.5000 0.5000  6 Pm 3.14-3.43
Pm7 0.0432 0.8384 0.5818  4 Pm 3.14-3.47, 3 Ho 3.36-3.51
Pm8 0.8816 0.5818 0.1616  4 Pm 3.14-3.47, 3 Ho 3.36-3.51
Pm9 0.4634 0.1616 0.4182  4 Pm 3.14-3.47, 3 Ho 3.36-3.51
Pm10 0.1184 0.4182 0.8384  4 Pm 3.14-3.47, 3 Ho 3.36-3.51
Ho1 0.6773 0.7554 0.8901  6 Pm 3.36-3.51, 2 Ho 3.42
Ho2 0.4326 0.8901 0.2446  6 Pm 3.36-3.51, 2 Ho 3.42
Ho3 0.5674 0.1099 0.7554  6 Pm 3.36-3.51, 2 Ho 3.42
Ho4 0.3227 0.2446 0.1099  6 Pm 3.36-3.51, 2 Ho 3.42
La1 0.0000 0.0000 0.0000  8 Ho 4.19, 8 Pm 4.38

---

Record 4
Ac12Ag6Pt: optimized geometry, PBE.

Computed properties:
symmetry	R-3 (148)
DFT formation energy	-136.4	meV per atom
DOS(E_F)	24.4	states/eV per cell

abc: 9.1902 9.1902 9.1902
angles: 98.41 98.41 98.41
Closest atoms and distances in Å follow each position.
Sites, in units of the cell vectors:
Ac1 0.6801 0.9171 0.0265  1 Pt 2.98, 2 Ag 3.18-3.33
Ac2 0.5630 0.1911 0.4139  4 Ag 3.14-3.51
Ac3 0.3199 0.0829 0.9735  1 Pt 2.98, 2 Ag 3.18-3.33
Ac4 0.0829 0.9735 0.3199  1 Pt 2.98, 2 Ag 3.18-3.33
Ac5 0.8089 0.5861 0.4370  4 Ag 3.14-3.51
Ac6 0.0265 0.6801 0.9171  1 Pt 2.98, 2 Ag 3.18-3.33
Ac7 0.1911 0.4139 0.5630  4 Ag 3.14-3.51
Ac8 0.9171 0.0265 0.6801  1 Pt 2.98, 2 Ag 3.18-3.33
Ac9 0.5861 0.4370 0.8089  4 Ag 3.14-3.51
Ac10 0.4370 0.8089 0.5861  4 Ag 3.14-3.51
Ac11 0.4139 0.5630 0.1911  4 Ag 3.14-3.51
Ac12 0.9735 0.3199 0.0829  1 Pt 2.98, 2 Ag 3.18-3.33
Ag1 0.3643 0.6854 0.8735  6 Ac 3.14-3.51
Ag2 0.1265 0.6357 0.3146  6 Ac 3.14-3.51
Ag3 0.6357 0.3146 0.1265  6 Ac 3.14-3.51
Ag4 0.3146 0.1265 0.6357  6 Ac 3.14-3.51
Ag5 0.6854 0.8735 0.3643  6 Ac 3.14-3.51
Ag6 0.8735 0.3643 0.6854  6 Ac 3.14-3.51
Pt1 0.0000 0.0000 0.0000  6 Ac 2.98

---

Computed VASP energy, in the same sequence as the records: -8.04 -4.52 -4.21 -3.95 eV/atom.